DFT (PBE) results for a relaxed YTi2HgC crystal.

E_form   -0.364 eV per atom

Cell: 4.317 4.317 4.799 Å, 90.00 90.00 90.00°
Atoms (fractional coordinates):
Y1 0.000 0.000 0.000
Ti1 0.000 0.500 0.500
Ti2 0.500 0.000 0.500
Hg1 0.500 0.500 0.000
C1 0.000 0.000 0.500

***

DFT (PBE) results for a relaxed SmYZn crystal.

E_form   0.022 eV per atom

Cell: 9.985 4.993 7.113 Å, 90.00 90.00 90.00°
Atoms (fractional coordinates):
Sm1 0.126 0.250 0.004
Sm2 0.374 0.750 0.504
Sm3 0.626 0.250 0.496
Sm4 0.874 0.750 0.996
Y1 0.124 0.250 0.504
Y2 0.376 0.750 0.004
Y3 0.624 0.250 0.996
Y4 0.876 0.750 0.496
Zn1 0.126 0.750 0.255
Zn2 0.374 0.250 0.755
Zn3 0.626 0.750 0.245
Zn4 0.874 0.250 0.745

***

DFT (PBE) results for a relaxed SrGa2AuS crystal.

E_tot   -3.323 eV per atom

Cell: 4.726 4.726 6.678 Å, 90.00 90.00 90.00°
Atoms (fractional coordinates):
Sr1 0.000 0.000 0.000
Ga1 0.000 0.500 0.500
Ga2 0.500 0.000 0.500
Au1 0.500 0.500 0.500
S1 0.500 0.500 0.000

***

DFT (PBE) results for a relaxed CaBi2Pb2 crystal.

E_form   -0.170 eV per atom

Cell: 8.428 8.428 4.731 Å, 90.00 90.00 90.00°
Atoms (fractional coordinates):
Ca1 0.000 0.000 0.000
Ca2 0.500 0.500 0.000
Bi1 0.141 0.359 0.000
Bi2 0.359 0.859 0.000
Bi3 0.641 0.141 0.000
Bi4 0.859 0.641 0.000
Pb1 0.157 0.657 0.500
Pb2 0.343 0.157 0.500
Pb3 0.657 0.843 0.500
Pb4 0.843 0.343 0.500